Record 1
Compound: Tb2Pr6Dy3Mg
Source: Alexandria
Functional: PBE-GGA
Structure: relaxed

```
Tb2Pr6Dy3Mg
1.0
-1.185 -6.016 -1.349
1.937 3.909 -4.514
10.841 -2.019 4.362
Dy Tb Pr Mg
3 2 6 1
direct
0.500 0.500 0.500
0.833 0.167 0.500
0.167 0.833 0.500
0.667 0.333 0.000
0.333 0.667 0.000
0.249 0.249 0.750
0.083 0.415 0.249
0.585 0.917 0.751
0.751 0.751 0.250
0.415 0.083 0.249
0.917 0.585 0.751
0.000 0.000 0.000
```

As for the magnetization: 0.00 Bohr magnetons per cell. For the volume, the calculation gives 398 Å³/cell. The value obtained for the density of states at the Fermi level is 12.5 states/eV/cell. Its space group is C2/m, No. 12. The formation energy is 0.019 eV/atom. The calculation puts the total DFT energy (no corrections) at -4.4260 eV per atom.



Record 2
Compound: Tb6Pr2DyMg
Source: Alexandria
Functional: PBE-GGA
Structure: relaxed

```
Tb6Pr2DyMg
1.0
-1.197 4.194 -5.023
-10.974 -0.264 1.382
6.939 7.737 3.793
Mg Pr Tb Dy
2 4 12 2
direct
0.250 0.293 0.707
0.750 0.707 0.293
0.503 0.815 0.650
0.003 0.650 0.815
0.997 0.350 0.185
0.497 0.185 0.350
0.777 0.438 0.916
0.984 0.296 0.469
0.484 0.469 0.296
0.277 0.916 0.438
0.223 0.562 0.084
0.016 0.704 0.531
0.723 0.084 0.562
0.473 0.205 0.910
0.516 0.531 0.704
0.027 0.090 0.795
0.973 0.910 0.205
0.527 0.795 0.090
0.750 0.007 0.993
0.250 0.993 0.007
```

As for the magnetization: 0.00 Bohr magnetons per cell. For the volume, the calculation gives 646 Å³/cell. The value obtained for the density of states at the Fermi level is 28.5 states/eV/cell. Its space group is C2/c, No. 15. The formation energy is 0.099 eV/atom. The calculation puts the total DFT energy (no corrections) at -4.2546 eV per atom.



Record 3
Compound: PrDyMgTc
Source: Alexandria
Functional: PBE-GGA
Structure: relaxed

```
PrDyMgTc
1.0
5.130 0.000 0.000
2.565 4.442 0.000
2.565 1.481 4.188
Pr Dy Tc Mg
1 1 1 1
direct
0.250 0.250 0.250
0.750 0.750 0.750
0.500 0.500 0.500
0.000 0.000 0.000
```

As for the magnetization: 0.00 Bohr magnetons per cell. For the volume, the calculation gives 95 Å³/cell. The value obtained for the density of states at the Fermi level is 2.4 states/eV/cell. Its space group is F-43m, No. 216. The formation energy is 0.067 eV/atom. The calculation puts the total DFT energy (no corrections) at -5.2685 eV per atom.



Record 4
Compound: Pr2DyMgTe5
Source: Alexandria
Functional: PBE-GGA
Structure: relaxed

```
Pr2DyMgTe5
1.0
-1.990 -3.247 2.139
-3.267 -1.118 -9.199
10.468 -8.208 -2.720
Dy Pr Te Mg
2 4 10 2
direct
0.205 0.409 0.012
0.795 0.591 0.512
0.112 0.224 0.682
0.133 0.266 0.304
0.888 0.776 0.182
0.867 0.734 0.804
0.637 0.273 0.499
0.311 0.622 0.349
0.496 0.993 0.777
0.504 0.007 0.277
0.283 0.566 0.670
0.050 0.101 0.075
0.689 0.378 0.849
0.950 0.899 0.575
0.363 0.727 0.999
0.717 0.434 0.170
0.556 0.112 0.956
0.444 0.888 0.456
```

As for the magnetization: 0.00 Bohr magnetons per cell. For the volume, the calculation gives 568 Å³/cell. The value obtained for the density of states at the Fermi level is 4.2 states/eV/cell. Its space group is Cmc2_1, No. 36. The value obtained for the uncorrected formation energy is -1259 meV per atom. The calculation puts the total DFT energy (no corrections) at -4.7549 eV per atom.



Q: Which value of magnetization does entry 2 give?
A: 0.00 Bohr magnetons per cell



Q: Which value of magnetization does entry 4 give?
A: 0.00 Bohr magnetons per cell



What did the second record say?
Compound: Tb6Pr2DyMg
Source: Alexandria
Functional: PBE-GGA
Structure: relaxed

```
Tb6Pr2DyMg
1.0
-1.197 4.194 -5.023
-10.974 -0.264 1.382
6.939 7.737 3.793
Mg Pr Tb Dy
2 4 12 2
direct
0.250 0.293 0.707
0.750 0.707 0.293
0.503 0.815 0.650
0.003 0.650 0.815
0.997 0.350 0.185
0.497 0.185 0.350
0.777 0.438 0.916
0.984 0.296 0.469
0.484 0.469 0.296
0.277 0.916 0.438
0.223 0.562 0.084
0.016 0.704 0.531
0.723 0.084 0.562
0.473 0.205 0.910
0.516 0.531 0.704
0.027 0.090 0.795
0.973 0.910 0.205
0.527 0.795 0.090
0.750 0.007 0.993
0.250 0.993 0.007
```

As for the magnetization: 0.00 Bohr magnetons per cell. For the volume, the calculation gives 646 Å³/cell. The value obtained for the density of states at the Fermi level is 28.5 states/eV/cell. Its space group is C2/c, No. 15. The formation energy is 0.099 eV/atom. The calculation puts the total DFT energy (no corrections) at -4.2546 eV per atom.



Q: What is the magnetization in the third record?
A: 0.00 Bohr magnetons per cell